Record 1
{"formula": "HoTmI2", "functional": "PBE-GGA", "state": "relaxed", "dos_ef_per_ev_cell": 2.78, "final_energy_ev_per_atom": -3.62, "raw_formation_energy_ev_per_atom": -0.58, "lattice": [[3.812, 0.000, 0.000], [1.906, 3.301, 0.000], [1.906, 1.100, 10.594]], "species": ["Tm", "I", "Ho", "I"], "fractional_positions": [[0.000, 0.000, 0.000], [0.097, 0.097, 0.709], [0.500, 0.500, 0.500], [0.903, 0.903, 0.291]]}

***

Record 2
{"formula": "HoTmI6", "functional": "PBE-GGA", "state": "relaxed", "dos_ef_per_ev_cell": 0.00, "final_energy_ev_per_atom": -3.60, "raw_formation_energy_ev_per_atom": -1.31, "lattice": [[-2.554, -6.235, -3.459], [4.419, -3.674, -4.932], [3.099, -7.132, 2.274]], "species": ["Tm", "I", "I", "I", "I", "I", "I", "Ho"], "fractional_positions": [[0.500, 0.500, 0.500], [0.591, 0.251, 0.251], [0.409, 0.749, 0.749], [0.093, 0.409, 0.749], [0.251, 0.907, 0.251], [0.749, 0.093, 0.749], [0.907, 0.591, 0.251], [0.000, 0.000, 0.000]]}

***

Record 3
{"formula": "HoTmI", "functional": "PBE-GGA", "state": "relaxed", "dos_ef_per_ev_cell": 2.02, "final_energy_ev_per_atom": -3.68, "raw_formation_energy_ev_per_atom": -0.14, "lattice": [[-0.386, -1.434, 3.420], [-2.341, -4.372, -2.097], [5.342, 0.138, 0.661]], "species": ["I", "Tm", "Ho"], "fractional_positions": [[0.341, 0.333, 0.667], [0.569, 0.667, 0.333], [0.091, 0.000, 0.000]]}

***

Record 4
{"formula": "HoTm2I", "functional": "PBE-GGA", "state": "relaxed", "dos_ef_per_ev_cell": 4.93, "final_energy_ev_per_atom": -4.08, "raw_formation_energy_ev_per_atom": -0.31, "lattice": [[-2.568, 2.538, -0.816], [-0.795, 0.758, -3.535], [-8.392, -6.238, -1.389]], "species": ["Tm", "I", "Tm", "Ho"], "fractional_positions": [[0.746, 0.746, 0.762], [0.000, 0.000, 0.000], [0.254, 0.254, 0.238], [0.500, 0.500, 0.500]]}

***

Record 5
{"formula": "Y2HoI", "functional": "PBE-GGA", "state": "relaxed", "dos_ef_per_ev_cell": 4.97, "final_energy_ev_per_atom": -5.04, "raw_formation_energy_ev_per_atom": -0.28, "lattice": [[3.644, 0.000, 0.000], [0.000, 3.644, 0.000], [0.000, 0.000, 9.490]], "species": ["Y", "Y", "Ho", "I"], "fractional_positions": [[0.000, 0.000, 0.246], [0.000, 0.000, 0.754], [0.500, 0.500, 0.500], [0.500, 0.500, 0.000]]}

***

Record 6
{"formula": "YHoI5", "functional": "PBE-GGA", "state": "relaxed", "dos_ef_per_ev_cell": 2.65, "final_energy_ev_per_atom": -3.99, "raw_formation_energy_ev_per_atom": -1.30, "lattice": [[-1.111, 2.790, -2.794], [-1.341, -6.931, -6.387], [-14.765, -1.323, 4.549]], "species": ["I", "I", "Ho", "I", "I", "Y", "Y", "I", "I", "I", "I", "I", "Ho", "I"], "fractional_positions": [[0.750, 0.282, 0.457], [0.750, 0.672, 0.883], [0.750, 0.650, 0.682], [0.250, 0.328, 0.117], [0.250, 0.718, 0.543], [0.750, 0.086, 0.142], [0.250, 0.914, 0.858], [0.750, 0.973, 0.709], [0.750, 0.581, 0.283], [0.750, 0.136, 0.930], [0.250, 0.027, 0.291], [0.250, 0.864, 0.070], [0.250, 0.350, 0.318], [0.250, 0.419, 0.717]]}